First-principles (PBE with a Hubbard U) data for crystalline AcScV2O8 at its relaxed geometry, as listed in the Alexandria database.

Calculated values
The raw total energy comes out at -8.060 eV per atom. The calculation puts the total magnetization at 0.0 Bohr magnetons per cell. For the volume, the calculation gives 192.5 Å³/f.u. As for the space-group type: P-3m1.

The structure in extended XYZ format:
```
12
Lattice="5.634 0.000 0.000 -2.817 4.879 0.000 0.000 0.000 7.004" Properties=species:S:1:pos:R:3 pbc="T T T"
Ac 0.000 0.000 0.000
Sc 0.000 0.000 3.502
V 0.000 3.253 5.393
V 2.817 1.626 1.610
O 0.000 1.570 4.900
O -1.457 4.094 4.900
O 1.360 0.785 2.104
O 0.000 3.253 0.079
O 2.817 1.626 6.925
O 1.457 4.094 4.900
O 4.274 0.785 2.104
O 2.817 3.309 2.104
```